VASP calculation (PBE) on a relaxed structure of PuHfGa2.

a b c (Å): 6.8818 6.8818 6.8818
angles (deg): 90.00 90.00 90.00
Space group Fm-3m (No. 225)
One atom of each set of equivalent atoms:
Pu (0.0000, 0.0000, 0.0000) (multiplicity 4)
Hf (0.0000, 0.0000, 0.5000) (multiplicity 4)
Ga (0.2500, 0.2500, 0.2500) (multiplicity 8)

Results
- E_form (meV/atom) = -282
- total magnetic moment (μB/atom) = 1.448
- energy (eV per atom) = -7.867
- crystal system = cubic


VASP calculation (PBE) on a relaxed structure of Pu2HfGa6.

a b c (Å): 7.8530 7.8530 3.2586
angles (deg): 90.00 90.00 120.00
Space group P6/mmm (No. 191)
One atom of each set of equivalent atoms:
Pu (0.3333, 0.6667, 0.0000) (multiplicity 2)
Hf (0.0000, 0.0000, 0.0000) (multiplicity 1)
Ga (0.0000, 0.3257, 0.5000) (multiplicity 6)

Results
- E_form (meV/atom) = -363
- total magnetic moment (μB/atom) = 1.249
- energy (eV per atom) = -6.672
- crystal system = hexagonal


VASP calculation (PBE) on a relaxed structure of PuHfGa2.

a b c (Å): 4.4810 4.4810 4.0827
angles (deg): 90.00 90.00 90.00
Space group P4/mmm (No. 123)
One atom of each set of equivalent atoms:
Pu (0.0000, 0.0000, 0.0000) (multiplicity 1)
Hf (0.5000, 0.5000, 0.0000) (multiplicity 1)
Ga (0.0000, 0.5000, 0.5000) (multiplicity 2)

Results
- E_form (meV/atom) = -221
- total magnetic moment (μB/atom) = 1.509
- energy (eV per atom) = -7.806
- crystal system = tetragonal


VASP calculation (PBE) on a relaxed structure of PuHfGa2.

a b c (Å): 3.0595 3.0595 8.4835
angles (deg): 90.00 90.00 90.00
Space group P4/mmm (No. 123)
One atom of each set of equivalent atoms:
Pu (0.0000, 0.0000, 0.0000) (multiplicity 1)
Hf (0.0000, 0.0000, 0.5000) (multiplicity 1)
Ga (0.5000, 0.5000, 0.2655) (multiplicity 2)

Results
- E_form (meV/atom) = -356
- total magnetic moment (μB/atom) = 1.331
- energy (eV per atom) = -7.941
- crystal system = tetragonal


VASP calculation (PBE) on a relaxed structure of Pu2HfGa.

a b c (Å): 4.2295 4.2295 4.8061
angles (deg): 90.00 90.00 90.00
Space group P4/mmm (No. 123)
One atom of each set of equivalent atoms:
Pu (0.0000, 0.5000, 0.0000) (multiplicity 2)
Hf (0.0000, 0.0000, 0.5000) (multiplicity 1)
Ga (0.5000, 0.5000, 0.5000) (multiplicity 1)

Results
- E_form (meV/atom) = -146
- total magnetic moment (μB/atom) = 2.616
- energy (eV per atom) = -10.557
- crystal system = tetragonal


VASP calculation (PBE) on a relaxed structure of PuHfGa6.

a b c (Å): 4.1887 4.1887 8.3532
angles (deg): 90.00 90.00 90.00
Space group P4/mmm (No. 123)
One atom of each set of equivalent atoms:
Pu (0.0000, 0.0000, 0.0000) (multiplicity 1)
Hf (0.0000, 0.0000, 0.5000) (multiplicity 1)
Ga (0.0000, 0.5000, 0.2556) (multiplicity 4)
Ga (0.5000, 0.5000, 0.0000) (multiplicity 1)
Ga (0.5000, 0.5000, 0.5000) (multiplicity 1)

Results
- E_form (meV/atom) = -393
- total magnetic moment (μB/atom) = 0.660
- energy (eV per atom) = -5.698
- crystal system = tetragonal


VASP calculation (PBE) on a relaxed structure of PuHfGaTc.

a b c (Å): 6.7705 6.7705 6.7705
angles (deg): 90.00 90.00 90.00
Space group F-43m (No. 216)
One atom of each set of equivalent atoms:
Pu (0.0000, 0.0000, 0.0000) (multiplicity 4)
Hf (0.0000, 0.0000, 0.5000) (multiplicity 4)
Ga (0.2500, 0.2500, 0.7500) (multiplicity 4)
Tc (0.2500, 0.2500, 0.2500) (multiplicity 4)

Results
- E_form (meV/atom) = -137
- total magnetic moment (μB/atom) = 1.241
- energy (eV per atom) = -9.557
- crystal system = cubic


VASP calculation (PBE) on a relaxed structure of PuHfZnGa.

a b c (Å): 6.8712 6.8712 6.8712
angles (deg): 90.00 90.00 90.00
Space group F-43m (No. 216)
One atom of each set of equivalent atoms:
Pu (0.0000, 0.0000, 0.0000) (multiplicity 4)
Hf (0.0000, 0.0000, 0.5000) (multiplicity 4)
Zn (0.2500, 0.2500, 0.7500) (multiplicity 4)
Ga (0.2500, 0.2500, 0.2500) (multiplicity 4)

Results
- E_form (meV/atom) = -165
- total magnetic moment (μB/atom) = 1.402
- energy (eV per atom) = -7.312
- crystal system = cubic


Number 1: DOS at the Fermi energy 7.8 states/eV/f.u.. Number 2: DOS at the Fermi energy 13.6 states/eV/f.u.. Number 3: DOS at the Fermi energy 9.6 states/eV/f.u.. Number 4: DOS at the Fermi energy 6.8 states/eV/f.u.. Number 5: DOS at the Fermi energy 7.9 states/eV/f.u.. Number 6: DOS at the Fermi energy 11.0 states/eV/f.u.. Number 7: DOS at the Fermi energy 7.4 states/eV/f.u.. Number 8: DOS at the Fermi energy 8.4 states/eV/f.u..